Density functional theory data (GGA+U) for a relaxed structure of Li2MnO2F.

Computed properties:
Energy above the lowest structure with this stoichiometry   0.0 meV per atom
Total DFT energy (no corrections)   -6.01 eV per atom

Cell lengths 2.9456, 2.9461, 14.5218 Å; angles 88.22, 88.24, 62.26 degrees
Space group P1 (No. 1)
Unique sites:
Li 0.0000 0.0000 0.0000 x1
Li 0.0488 0.9519 0.5000 x1
Li 0.3650 0.2811 0.6600 x1
Li 0.7181 0.6372 0.3399 x1
Mn 0.3546 0.3233 0.1697 x1
Mn 0.6789 0.6434 0.8303 x1
O 0.0595 0.9098 0.7517 x1
O 0.0886 0.9427 0.2483 x1
O 0.2976 0.3778 0.9089 x1
O 0.6207 0.7042 0.0912 x1
F 0.3884 0.2888 0.4198 x1
F 0.7134 0.6107 0.5802 x1